A geometry-optimized Li4Pa3AgSe8 structure. Source: Alexandria, functional PBE.

```
Li4Pa3AgSe8
1.0
4.026 2.324 6.585
-4.026 2.324 6.585
0.000 -4.649 6.585
Li Pa Ag Se
4 3 1 8
Cartesian
0.000 0.000 0.000
-2.013 -1.162 6.585
-2.013 1.162 13.171
0.000 2.324 6.585
-4.026 0.000 9.878
-2.013 1.162 3.293
2.013 1.162 3.293
0.000 0.000 9.878
0.000 -2.355 8.180
-2.040 1.178 8.180
-2.040 -1.178 11.576
0.000 0.000 5.026
0.000 0.000 14.730
2.040 1.178 8.180
2.040 -1.178 11.576
0.000 2.355 11.576
```

The calculation puts the uncorrected formation energy at -1176 meV per atom. For the calculated volume, the calculation gives 369.7 Å³/f.u. The calculation puts the energy at -85.690 eV per cell. The crystal system is trigonal.